This record from Alexandria describes a geometry-optimized Ac2MgBe2O6 structure. The functional is PBE-GGA.

Computed properties:
Magnetic moment (μB/cell): 0.000
Formation energy from raw total energies (eV/atom): -2.735
DOS at the Fermi energy (states/eV per cell): 0.0

a b c (Å): 5.5139 5.5139 5.9223
angles (deg): 90.00 90.00 120.00
Fractional positions:
Ac: 0.3333 0.6667 0.2356
Ac: 0.6667 0.3333 0.7644
Mg: 0.0000 0.0000 0.0000
Be: 0.3333 0.6667 0.7726
Be: 0.6667 0.3333 0.2274
O: 0.1213 0.3568 0.7962
O: 0.2355 0.8787 0.7962
O: 0.3568 0.2355 0.2038
O: 0.6432 0.7645 0.7962
O: 0.7645 0.1213 0.2038
O: 0.8787 0.6432 0.2038